1.
! Zr2SnSb PBE-GGA relaxed; values from VASP
&SYSTEM
  ibrav = 0, nat = 8, ntyp = 3
/
ATOMIC_SPECIES
Sb 121.76 Sb.upf
Sn 118.71 Sn.upf
Zr 91.22 Zr.upf
CELL_PARAMETERS angstrom
-6.453 1.030 0.433
-0.654 -5.541 3.430
-2.643 1.101 7.526
ATOMIC_POSITIONS crystal
Sb 0.000 0.000 0.000
Sb 0.750 0.250 0.500
Sn 0.500 0.500 0.000
Sn 0.250 0.750 0.500
Zr 0.622 0.125 0.250
Zr 0.128 0.625 0.250
Zr 0.375 0.378 0.750
Zr 0.875 0.872 0.750
! Space-group type: I-42d
! ΔE_f (raw), kJ/mol of atoms: 34
! VASP energy, eV/atom: -5.9566

2.
! ZrSnSb2 PBE-GGA relaxed; values from VASP
&SYSTEM
  ibrav = 0, nat = 4, ntyp = 3
/
ATOMIC_SPECIES
Sb 121.76 Sb.upf
Sn 118.71 Sn.upf
Zr 91.22 Zr.upf
CELL_PARAMETERS angstrom
3.795 0.000 0.000
0.000 3.795 0.000
0.000 0.000 7.029
ATOMIC_POSITIONS crystal
Sb 0.000 0.000 0.784
Sb 0.000 0.000 0.216
Sn 0.500 0.500 0.500
Zr 0.500 0.500 0.000
! Space-group type: P4/mmm
! ΔE_f (raw), kJ/mol of atoms: -24
! VASP energy, eV/atom: -5.4438